## one
Density functional theory data (PBE-GGA) for TmSnB after structural relaxation.

CIF file:
```
data_TmSnB
_chemical_formula_sum 'Tm4 Sn4 B4'
_space_group_name_H-M_alt 'F -4 3 m'
_space_group_IT_number 216
_space_group_name_Hall 'F -4 2 3'
_cell_length_a 6.551
_cell_length_b 6.551
_cell_length_c 6.551
_cell_angle_alpha 90.00
_cell_angle_beta 90.00
_cell_angle_gamma 90.00
loop_
_atom_site_label
_atom_site_type_symbol
_atom_site_fract_x
_atom_site_fract_y
_atom_site_fract_z
_atom_site_occupancy
Tm1 Tm 0.000 0.000 0.000 1
Sn1 Sn 0.250 0.250 0.750 1
B1 B 0.000 0.000 0.500 1
```

The total magnetization is 0.000 μB/f.u.

=====

## two
Density functional theory data (PBE-GGA) for TmSnB after structural relaxation.

CIF file:
```
data_TmSnB
_chemical_formula_sum 'Tm4 Sn4 B4'
_space_group_name_H-M_alt 'F -4 3 m'
_space_group_IT_number 216
_space_group_name_Hall 'F -4 2 3'
_cell_length_a 6.135
_cell_length_b 6.135
_cell_length_c 6.135
_cell_angle_alpha 90.00
_cell_angle_beta 90.00
_cell_angle_gamma 90.00
loop_
_atom_site_label
_atom_site_type_symbol
_atom_site_fract_x
_atom_site_fract_y
_atom_site_fract_z
_atom_site_occupancy
Tm1 Tm 0.000 0.000 0.000 1
Sn1 Sn 0.000 0.000 0.500 1
B1 B 0.250 0.250 0.750 1
```

The total magnetization is 0.001 μB/f.u.

=====

Most stable structure - two; separation to the second - 78.0 kJ/mol of atoms.

=====

## one
Density functional theory data (PBE-GGA) for USnB after structural relaxation.

CIF file:
```
data_USnB
_chemical_formula_sum 'U4 Sn4 B4'
_space_group_name_H-M_alt 'F -4 3 m'
_space_group_IT_number 216
_space_group_name_Hall 'F -4 2 3'
_cell_length_a 6.157
_cell_length_b 6.157
_cell_length_c 6.157
_cell_angle_alpha 90.00
_cell_angle_beta 90.00
_cell_angle_gamma 90.00
loop_
_atom_site_label
_atom_site_type_symbol
_atom_site_fract_x
_atom_site_fract_y
_atom_site_fract_z
_atom_site_occupancy
U1 U 0.000 0.000 0.000 1
Sn1 Sn 0.000 0.000 0.500 1
B1 B 0.250 0.250 0.750 1
```

The total magnetization is 2.776 μB/f.u.

=====

## two
Density functional theory data (PBE-GGA) for USnB after structural relaxation.

CIF file:
```
data_USnB
_chemical_formula_sum 'U4 Sn4 B4'
_space_group_name_H-M_alt 'F -4 3 m'
_space_group_IT_number 216
_space_group_name_Hall 'F -4 2 3'
_cell_length_a 6.559
_cell_length_b 6.559
_cell_length_c 6.559
_cell_angle_alpha 90.00
_cell_angle_beta 90.00
_cell_angle_gamma 90.00
loop_
_atom_site_label
_atom_site_type_symbol
_atom_site_fract_x
_atom_site_fract_y
_atom_site_fract_z
_atom_site_occupancy
U1 U 0.000 0.000 0.000 1
Sn1 Sn 0.250 0.250 0.250 1
B1 B 0.250 0.250 0.750 1
```

The total magnetization is 1.836 μB/f.u.

=====

Most stable structure - one; separation to the second - 71.4 kJ/mol of atoms.

=====

## one
Density functional theory data (PBE-GGA) for ZnSnB after structural relaxation.

CIF file:
```
data_ZnSnB
_chemical_formula_sum 'Zn4 Sn4 B4'
_space_group_name_H-M_alt 'F -4 3 m'
_space_group_IT_number 216
_space_group_name_Hall 'F -4 2 3'
_cell_length_a 6.089
_cell_length_b 6.089
_cell_length_c 6.089
_cell_angle_alpha 90.00
_cell_angle_beta 90.00
_cell_angle_gamma 90.00
loop_
_atom_site_label
_atom_site_type_symbol
_atom_site_fract_x
_atom_site_fract_y
_atom_site_fract_z
_atom_site_occupancy
Zn1 Zn 0.000 0.000 0.000 1
Sn1 Sn 0.250 0.250 0.750 1
B1 B 0.000 0.000 0.500 1
```

=====

## two
Density functional theory data (PBE-GGA) for ZnSnB after structural relaxation.

CIF file:
```
data_ZnSnB
_chemical_formula_sum 'Zn4 Sn4 B4'
_space_group_name_H-M_alt 'F -4 3 m'
_space_group_IT_number 216
_space_group_name_Hall 'F -4 2 3'
_cell_length_a 5.857
_cell_length_b 5.857
_cell_length_c 5.857
_cell_angle_alpha 90.00
_cell_angle_beta 90.00
_cell_angle_gamma 90.00
loop_
_atom_site_label
_atom_site_type_symbol
_atom_site_fract_x
_atom_site_fract_y
_atom_site_fract_z
_atom_site_occupancy
Zn1 Zn 0.000 0.000 0.000 1
Sn1 Sn 0.000 0.000 0.500 1
B1 B 0.250 0.250 0.750 1
```

=====

Most stable structure - two; separation to the second - 33.8 kJ/mol of atoms.

=====

## one
Density functional theory data (PBE-GGA) for SrTaB after structural relaxation.

CIF file:
```
data_SrTaB
_chemical_formula_sum 'Sr4 Ta4 B4'
_space_group_name_H-M_alt 'F -4 3 m'
_space_group_IT_number 216
_space_group_name_Hall 'F -4 2 3'
_cell_length_a 6.605
_cell_length_b 6.605
_cell_length_c 6.605
_cell_angle_alpha 90.00
_cell_angle_beta 90.00
_cell_angle_gamma 90.00
loop_
_atom_site_label
_atom_site_type_symbol
_atom_site_fract_x
_atom_site_fract_y
_atom_site_fract_z
_atom_site_occupancy
Sr1 Sr 0.000 0.000 0.000 1
Ta1 Ta 0.250 0.250 0.250 1
B1 B 0.250 0.250 0.750 1
```

The total magnetization is 2.034 μB/f.u.

=====

## two
Density functional theory data (PBE-GGA) for SrTaB after structural relaxation.

CIF file:
```
data_SrTaB
_chemical_formula_sum 'Sr4 Ta4 B4'
_space_group_name_H-M_alt 'F -4 3 m'
_space_group_IT_number 216
_space_group_name_Hall 'F -4 2 3'
_cell_length_a 6.187
_cell_length_b 6.187
_cell_length_c 6.187
_cell_angle_alpha 90.00
_cell_angle_beta 90.00
_cell_angle_gamma 90.00
loop_
_atom_site_label
_atom_site_type_symbol
_atom_site_fract_x
_atom_site_fract_y
_atom_site_fract_z
_atom_site_occupancy
Sr1 Sr 0.000 0.000 0.000 1
Ta1 Ta 0.000 0.000 0.500 1
B1 B 0.250 0.250 0.250 1
```

The total magnetization is 0.445 μB/f.u.

=====

Most stable structure - two; separation to the second - 139.9 kJ/mol of atoms.

=====

## one
Density functional theory data (PBE-GGA) for SrTbB4 after structural relaxation.

CIF file:
```
data_SrTbB4
_chemical_formula_sum 'Sr2 Tb2 B8'
_space_group_name_H-M_alt 'I m m m'
_space_group_IT_number 71
_space_group_name_Hall '-I 2 2'
_cell_length_a 3.201
_cell_length_b 6.037
_cell_length_c 8.233
_cell_angle_alpha 90.00
_cell_angle_beta 90.00
_cell_angle_gamma 90.00
loop_
_atom_site_label
_atom_site_type_symbol
_atom_site_fract_x
_atom_site_fract_y
_atom_site_fract_z
_atom_site_occupancy
Sr1 Sr 0.000 0.000 0.000 1
Tb1 Tb 0.000 0.000 0.500 1
B1 B 0.000 0.313 0.244 1
```

The total magnetization is 0.005 μB/f.u.

=====

## two
Density functional theory data (PBE-GGA) for SrTbB4 after structural relaxation.

CIF file:
```
data_SrTbB4
_chemical_formula_sum 'Sr1 Tb1 B4'
_space_group_name_H-M_alt 'P 6/m m m'
_space_group_IT_number 191
_space_group_name_Hall '-P 6 2'
_cell_length_a 3.3211
_cell_length_b 3.3211
_cell_length_c 8.2589
_cell_angle_alpha 90.00
_cell_angle_beta 90.00
_cell_angle_gamma 120.00
loop_
_atom_site_label
_atom_site_type_symbol
_atom_site_fract_x
_atom_site_fract_y
_atom_site_fract_z
_atom_site_occupancy
Sr1 Sr 0.0000 0.0000 0.0000 1
Tb1 Tb 0.0000 0.0000 0.5000 1
B1 B 0.3333 0.6667 0.2688 1
```

The total magnetization is 0.006 μB/f.u.

=====

Most stable structure - two; separation to the second - 6.3 kJ/mol of atoms.

=====

## one
Density functional theory data (PBE-GGA) for SrTcB4 after structural relaxation.

CIF file:
```
data_SrTcB4
_chemical_formula_sum 'Sr1 Tc1 B4'
_space_group_name_H-M_alt 'P 6/m m m'
_space_group_IT_number 191
_space_group_name_Hall '-P 6 2'
_cell_length_a 3.0996
_cell_length_b 3.0996
_cell_length_c 7.7029
_cell_angle_alpha 90.00
_cell_angle_beta 90.00
_cell_angle_gamma 120.00
loop_
_atom_site_label
_atom_site_type_symbol
_atom_site_fract_x
_atom_site_fract_y
_atom_site_fract_z
_atom_site_occupancy
Sr1 Sr 0.0000 0.0000 0.0000 1
Tc1 Tc 0.0000 0.0000 0.5000 1
B1 B 0.3333 0.6667 0.2905 1
```

The total magnetization is 0.430 μB/f.u.

=====

## two
Density functional theory data (PBE-GGA) for SrTcB4 after structural relaxation.

CIF file:
```
data_SrTcB4
_chemical_formula_sum 'Sr2 Tc2 B8'
_space_group_name_H-M_alt 'I m m m'
_space_group_IT_number 71
_space_group_name_Hall '-I 2 2'
_cell_length_a 3.123
_cell_length_b 5.512
_cell_length_c 7.474
_cell_angle_alpha 90.00
_cell_angle_beta 90.00
_cell_angle_gamma 90.00
loop_
_atom_site_label
_atom_site_type_symbol
_atom_site_fract_x
_atom_site_fract_y
_atom_site_fract_z
_atom_site_occupancy
Sr1 Sr 0.000 0.000 0.000 1
Tc1 Tc 0.000 0.000 0.500 1
B1 B 0.000 0.343 0.241 1
```

The total magnetization is 0.001 μB/f.u.

=====

Most stable structure - one; separation to the second - 20.2 kJ/mol of atoms.

=====

## one
Density functional theory data (PBE-GGA) for SrThB4 after structural relaxation.

CIF file:
```
data_SrThB4
_chemical_formula_sum 'Sr2 Th2 B8'
_space_group_name_H-M_alt 'I m m m'
_space_group_IT_number 71
_space_group_name_Hall '-I 2 2'
_cell_length_a 3.163
_cell_length_b 7.520
_cell_length_c 7.729
_cell_angle_alpha 90.00
_cell_angle_beta 90.00
_cell_angle_gamma 90.00
loop_
_atom_site_label
_atom_site_type_symbol
_atom_site_fract_x
_atom_site_fract_y
_atom_site_fract_z
_atom_site_occupancy
Sr1 Sr 0.000 0.000 0.000 1
Th1 Th 0.000 0.000 0.500 1
B1 B 0.000 0.274 0.243 1
```

The total magnetization is 0.002 μB/f.u.

=====

## two
Density functional theory data (PBE-GGA) for SrThB4 after structural relaxation.

CIF file:
```
data_SrThB4
_chemical_formula_sum 'Sr1 Th1 B4'
_space_group_name_H-M_alt 'P 6/m m m'
_space_group_IT_number 191
_space_group_name_Hall '-P 6 2'
_cell_length_a 3.3339
_cell_length_b 3.3339
_cell_length_c 8.5396
_cell_angle_alpha 90.00
_cell_angle_beta 90.00
_cell_angle_gamma 120.00
loop_
_atom_site_label
_atom_site_type_symbol
_atom_site_fract_x
_atom_site_fract_y
_atom_site_fract_z
_atom_site_occupancy
Sr1 Sr 0.0000 0.0000 0.0000 1
Th1 Th 0.0000 0.0000 0.5000 1
B1 B 0.3333 0.6667 0.2585 1
```

The total magnetization is 0.003 μB/f.u.

=====

Most stable structure - one; separation to the second - 9.2 kJ/mol of atoms.